Hg2WBr GGA-PBEsol optimized geometry; M_tot = 0.0 μB/f.u.; energy relative to the lowest polymorph listed for this composition = 1.6 kJ per mole of atoms; Fermi-level density of states = 2.3 states/eV per cell; DFT total energy = -3.51 eV/atom
1.0
-0.080 2.873 1.243
-2.657 -1.656 0.059
2.377 -3.516 8.283
Br Hg W
1 2 1
Direct
0.500 0.500 0.000
0.000 0.000 0.259
0.000 0.000 0.741
0.500 0.500 0.500

***

CeIr2 GGA-PBEsol optimized geometry; M_tot = 0.0 μB/f.u.; Fermi-level density of states = 8.9 states/eV per cell; DFT total energy = -9.48 eV/atom; energy of formation from the pure elements = -737 meV/atom
1.0
5.322 0.000 0.000
2.661 4.609 0.000
2.661 1.536 4.345
Ce Ir
2 4
Direct
0.750 0.750 0.750
0.500 0.500 0.500
0.125 0.125 0.625
0.125 0.625 0.125
0.125 0.125 0.125
0.625 0.125 0.125

***

MoAs2W GGA-PBEsol optimized geometry; M_tot = 0.0 μB/f.u.; energy relative to the lowest polymorph listed for this composition = 0.0 kJ per mole of atoms; Fermi-level density of states = 3.1 states/eV per cell; DFT total energy = -8.90 eV/atom; energy of formation from the pure elements = 49 meV/atom
1.0
-4.091 -0.099 -1.543
-0.709 -0.098 -4.315
-1.541 -3.635 -1.881
Mo As W
1 2 1
Direct
0.000 0.000 0.000
0.250 0.250 0.250
0.750 0.750 0.750
0.500 0.500 0.500

***

Pr3SbO7 GGA-PBEsol optimized geometry; M_tot = 0.0 μB/f.u.; Fermi-level density of states = 0.0 states/eV per cell; DFT total energy = -8.03 eV/atom
1.0
-1.532 -0.268 -6.472
6.592 0.263 0.880
0.272 -7.674 0.254
Pr Sb O
6 2 14
Direct
0.931 0.479 0.250
0.069 0.521 0.750
0.479 0.931 0.250
0.521 0.069 0.750
0.000 0.000 0.500
0.000 0.000 0.000
0.500 0.500 0.500
0.500 0.500 0.000
0.583 0.583 0.250
0.417 0.417 0.750
0.110 0.847 0.250
0.890 0.153 0.750
0.847 0.110 0.250
0.153 0.890 0.750
0.187 0.439 0.035
0.813 0.561 0.535
0.439 0.187 0.035
0.561 0.813 0.535
0.187 0.439 0.465
0.813 0.561 0.965
0.561 0.813 0.965
0.439 0.187 0.465

***

Cs2RbInCl6 GGA-PBEsol optimized geometry; M_tot = 0.0 μB/f.u.; Fermi-level density of states = 0.0 states/eV per cell; DFT total energy = -3.46 eV/atom
1.0
7.836 0.000 0.000
3.918 6.787 0.000
3.918 2.262 6.398
Cs Cl Rb In
2 6 1 1
Direct
0.750 0.750 0.750
0.250 0.250 0.250
0.226 0.774 0.226
0.226 0.774 0.774
0.774 0.226 0.226
0.226 0.226 0.774
0.774 0.774 0.226
0.774 0.226 0.774
0.500 0.500 0.500
0.000 0.000 0.000

***

MgCdO2 GGA-PBEsol optimized geometry; M_tot = 0.0 μB/f.u.; DFT total energy = -5.14 eV/atom
1.0
-2.989 -3.775 0.628
3.693 -3.055 -0.784
0.624 3.410 4.693
Mg O Cd
2 4 2
Direct
0.750 0.250 0.500
0.500 0.500 0.000
0.415 0.875 0.250
0.835 0.375 0.250
0.125 0.165 0.750
0.625 0.585 0.750
0.250 0.750 0.500
0.000 0.000 0.000

***

MgZn2W GGA-PBEsol optimized geometry; M_tot = 0.0 μB/f.u.; Fermi-level density of states = 2.0 states/eV per cell; DFT total energy = -4.44 eV/atom; energy of formation from the pure elements = 230 meV/atom
1.0
2.835 0.000 0.000
1.417 2.455 0.000
1.417 0.818 9.085
Mg W Zn
1 1 2
Direct
0.500 0.500 0.500
0.000 0.000 0.000
0.253 0.253 0.242
0.747 0.747 0.758

***

Re2Mo GGA-PBEsol optimized geometry; M_tot = 0.0 μB/f.u.; energy relative to the lowest polymorph listed for this composition = 0.0 kJ per mole of atoms; Fermi-level density of states = 2.0 states/eV per cell; DFT total energy = -12.69 eV/atom; energy of formation from the pure elements = 124 meV/atom
1.0
2.751 0.000 0.000
0.000 2.751 0.000
-1.376 -1.376 5.932
Mo Re
1 2
Direct
0.500 0.500 0.000
0.172 0.172 0.345
0.828 0.828 0.655

***

Question: Which of these has the lowest DFT total energy?
Answer: Re2Mo

***

Question: DFT total energy of number 2 (CeIr2)?
Answer: -9.48 eV/atom

***

Question: What is the DFT total energy in the fourth record?
Answer: -8.03 eV/atom